Material: RbLaDy4S8
Method: DFT, PBE
State: relaxed

Geometry as POSCAR:
```
RbLaDy4S8
1.0
-7.512 0.227 -3.410
-2.895 -6.583 -4.048
-6.234 -4.549 3.443
Rb La Dy S
1 1 4 8
Direct
0.370 0.370 0.890
0.004 0.004 0.987
0.626 0.626 0.123
0.004 0.487 0.504
0.487 0.004 0.504
0.004 0.004 0.504
0.239 0.805 0.717
0.805 0.239 0.717
0.239 0.239 0.717
0.230 0.230 0.311
0.751 0.233 0.265
0.233 0.751 0.265
0.751 0.751 0.265
0.757 0.757 0.730
```

Values from the calculation:
Formation energy from raw total energies = -1919 meV per atom
D(E_F) = 0.0 states/eV/cell

Material: CaFePt2
Method: DFT, PBE
State: relaxed

Geometry as POSCAR:
```
CaFePt2
1.0
-2.698 2.059 -0.208
0.207 -0.072 -3.393
-3.900 -5.123 -0.128
Ca Fe Pt
1 1 2
Direct
0.000 0.000 0.485
0.500 0.500 0.827
0.000 0.000 0.964
0.500 0.500 0.223
```

Values from the calculation:
D(E_F) = 2.8 states/eV/cell
Electronic total energy = -23.24 eV/cell

Material: Ba3ZnSn2
Method: DFT, PBE
State: relaxed

Geometry as POSCAR:
```
Ba3ZnSn2
1.0
4.942 0.000 0.000
0.000 13.817 0.000
0.000 0.000 13.824
Ba Zn Sn
12 4 8
Direct
0.250 0.377 0.060
0.750 0.623 0.940
0.750 0.877 0.440
0.250 0.123 0.560
0.250 0.694 0.205
0.750 0.306 0.795
0.750 0.194 0.295
0.250 0.806 0.705
0.250 0.439 0.377
0.750 0.561 0.623
0.750 0.939 0.123
0.250 0.061 0.877
0.250 0.126 0.130
0.750 0.874 0.870
0.750 0.626 0.370
0.250 0.374 0.630
0.250 0.682 0.465
0.750 0.318 0.535
0.750 0.182 0.035
0.250 0.818 0.965
0.250 0.014 0.304
0.750 0.986 0.696
0.750 0.514 0.196
0.250 0.486 0.804
```

Values from the calculation:
D(E_F) = 7.2 states/eV/cell
Electronic total energy = -73.11 eV/cell

Material: OsAuSe2N
Method: DFT, PBE
State: relaxed

Geometry as POSCAR:
```
OsAuSe2N
1.0
-4.904 -0.897 -1.353
-0.162 -4.012 3.249
-1.140 2.208 2.669
Os Au Se N
1 1 2 1
Direct
0.500 0.500 0.500
0.000 0.000 0.000
0.000 0.500 0.000
0.500 0.000 0.000
0.000 0.000 0.500
```

Values from the calculation:
Formation energy from raw total energies = 1890 meV per atom
D(E_F) = 5.6 states/eV/cell
E above lowest polymorph = 1330 meV per atom